LaInS2Cl, relaxed, DFT PBE-GGA; space-group type = P4/mmm; formation energy without anion corrections = -0.8987 eV per atom
1.0
5.1201 0.0000 0.0000
0.0000 5.1201 0.0000
0.0000 0.0000 5.0551
S In La Cl
2 1 1 1
Cartesian
2.5601 0.0000 0.0000
0.0000 2.5601 0.0000
0.0000 0.0000 0.0000
2.5601 2.5601 2.5275
0.0000 0.0000 2.5275